The following is a DFT calculation (PBE) of crystalline Pr2NdTl3 at its relaxed geometry.

POSCAR file:
```
Pr2NdTl3
1.0
3.9122 0.0000 0.0000
0.0000 3.9122 0.0000
0.0000 0.0000 11.8606
Pr Nd Tl
2 1 3
direct
0.0000 0.0000 0.1677
0.0000 0.0000 0.8323
0.0000 0.0000 0.5000
0.5000 0.5000 0.0000
0.5000 0.5000 0.3357
0.5000 0.5000 0.6643
```

Values from the calculation:
Energy above the most stable polymorph in this dataset = 0 meV per atom
Calculated total energy = -23.795 eV/f.u.
DOS at the Fermi energy = 0.96 states/eV per atom
Energy of formation from the pure elements = -395 meV per atom

=====

The following is a DFT calculation (PBE) of crystalline KMgCuS2 at its relaxed geometry.

POSCAR file:
```
KMgCuS2
1.0
7.1451 0.0000 0.0000
0.0000 5.3691 0.0000
-1.7610 0.0000 6.3377
K Mg Cu S
2 2 2 4
direct
0.0000 0.2205 0.2500
0.0000 0.7795 0.7500
0.5000 0.4945 0.7500
0.5000 0.5055 0.2500
0.5000 0.0000 0.0000
0.5000 0.0000 0.5000
0.2819 0.2868 0.9388
0.2819 0.7132 0.4388
0.7181 0.2868 0.5612
0.7181 0.7132 0.0612
```

Values from the calculation:
ΔE_f (raw) = -1.019 eV per atom
Calculated total energy = -20.139 eV/f.u.
DOS at the Fermi energy = 0.00 states/eV per atom

=====

The following is a DFT calculation (PBE) of crystalline CsScC at its relaxed geometry.

POSCAR file:
```
CsScC
1.0
3.6427 0.0000 0.0000
1.8145 3.8162 0.0000
0.3435 0.4237 13.7823
Cs Sc C
2 2 2
direct
0.0000 0.0000 0.0000
0.2005 0.5118 0.6599
0.2538 0.4693 0.2592
0.9532 0.0428 0.4007
0.5253 0.9169 0.3040
0.6816 0.5952 0.3559
```

Values from the calculation:
Energy above the most stable polymorph in this dataset = 0 meV per atom
Calculated total energy = -16.118 eV/f.u.
DOS at the Fermi energy = 0.73 states/eV per atom
Energy of formation from the pure elements = 97 meV per atom